Arrangement w

An optimized crystal structure of YScTl, computed with PBE-GGA.

Lattice parameters (Å, degrees): 6.878 6.878 6.878 150.26 150.26 42.56
Atoms (fractional coordinates):
Y 0.000 0.000 0.000
Sc 0.319 0.319 0.000
Tl 0.671 0.671 0.000

---

Arrangement x

An optimized crystal structure of YScTl, computed with PBE-GGA.

Lattice parameters (Å, degrees): 5.188 5.188 6.664 90.00 90.00 119.92
Atoms (fractional coordinates):
Y 0.000 0.000 0.000
Y 0.000 0.000 0.500
Sc 0.334 0.666 0.750
Sc 0.666 0.334 0.250
Tl 0.333 0.667 0.250
Tl 0.667 0.333 0.750

---

Which is the most stable structure? arrangement x is the most stable.

---

Arrangement w

An optimized crystal structure of YScTl, computed with PBE-GGA.

Lattice parameters (Å, degrees): 5.102 5.102 5.102 60.00 60.00 60.00
Atoms (fractional coordinates):
Y 0.000 0.000 0.000
Sc 0.250 0.250 0.250
Tl 0.750 0.750 0.750

---

Arrangement x

An optimized crystal structure of YScTl, computed with PBE-GGA.

Lattice parameters (Å, degrees): 5.042 5.042 5.042 60.00 60.00 60.00
Atoms (fractional coordinates):
Y 0.000 0.000 0.000
Sc 0.500 0.500 0.500
Tl 0.750 0.750 0.750

---

Which is the most stable structure? arrangement x is the most stable.